{"formula": "MgHgI2", "functional": "PBE", "state": "optimized geometry", "polymorph_energy_mev_per_atom": 487.2, "total_magnetization_mub_per_atom": 0.000, "energy_ev_per_atom": -1.518, "lattice_angstrom": [[0.000, 3.949, 3.949], [3.949, 0.000, 3.949], [3.949, 3.949, 0.000]], "species": ["Mg", "Hg", "I", "I"], "frac_coords": [[0.000, 0.000, 0.000], [0.500, 0.500, 0.500], [0.250, 0.250, 0.250], [0.750, 0.750, 0.750]]}

---

{"formula": "CoMo2RuN", "functional": "PBE", "state": "optimized geometry", "polymorph_energy_mev_per_atom": 2596.4, "total_magnetization_mub_per_atom": 0.130, "energy_ev_per_atom": -6.731, "lattice_angstrom": [[4.682, 0.000, 0.000], [0.000, 4.682, 0.000], [0.000, 0.000, 4.483]], "species": ["Co", "Mo", "Mo", "Ru", "N"], "frac_coords": [[0.000, 0.000, 0.000], [0.000, 0.500, 0.500], [0.500, 0.000, 0.500], [0.000, 0.000, 0.500], [0.500, 0.500, 0.000]]}

---

{"formula": "TaVRu3", "functional": "PBE", "state": "optimized geometry", "polymorph_energy_mev_per_atom": 1141.9, "total_magnetization_mub_per_atom": 0.047, "energy_ev_per_atom": -8.262, "ef_ev_per_atom": 1.50, "lattice_angstrom": [[4.678, 0.000, 0.000], [0.000, 4.678, 0.000], [0.000, 0.000, 4.678]], "species": ["Ta", "V", "Ru", "Ru", "Ru"], "frac_coords": [[0.000, 0.000, 0.000], [0.500, 0.500, 0.500], [0.000, 0.000, 0.500], [0.000, 0.500, 0.000], [0.500, 0.000, 0.000]]}

---

{"formula": "MgCoW2", "functional": "PBE", "state": "optimized geometry", "total_magnetization_mub_per_atom": 0.000, "energy_ev_per_atom": -8.259, "ef_ev_per_atom": 0.39, "lattice_angstrom": [[-1.858, 1.858, 4.338], [1.858, -1.858, 4.338], [1.858, 1.858, -4.338]], "species": ["Mg", "Co", "W", "W"], "frac_coords": [[0.000, 0.000, 0.000], [0.500, 0.500, 0.000], [0.250, 0.750, 0.500], [0.750, 0.250, 0.500]]}

---

{"formula": "ZrTaV", "functional": "PBE", "state": "optimized geometry", "polymorph_energy_mev_per_atom": 0.0, "total_magnetization_mub_per_atom": 0.000, "energy_ev_per_atom": -9.743, "ef_ev_per_atom": 0.10, "lattice_angstrom": [[-1.638, 1.638, 5.120], [1.638, -1.638, 5.120], [1.638, 1.638, -5.120]], "species": ["Zr", "Ta", "V"], "frac_coords": [[0.000, 0.000, 0.000], [0.308, 0.308, 0.000], [0.679, 0.679, 0.000]]}

---

{"formula": "Sr3FeI", "functional": "PBE", "state": "optimized geometry", "polymorph_energy_mev_per_atom": 0.0, "total_magnetization_mub_per_atom": 0.000, "energy_ev_per_atom": -2.887, "lattice_angstrom": [[5.764, 0.000, 0.000], [0.000, 5.764, 0.000], [0.000, 0.000, 5.764]], "species": ["Sr", "Sr", "Sr", "Fe", "I"], "frac_coords": [[0.000, 0.000, 0.500], [0.000, 0.500, 0.000], [0.500, 0.000, 0.000], [0.000, 0.000, 0.000], [0.500, 0.500, 0.500]]}

---

{"formula": "Ca2P2Se", "functional": "PBE", "state": "optimized geometry", "polymorph_energy_mev_per_atom": 176.1, "total_magnetization_mub_per_atom": 0.000, "energy_ev_per_atom": -4.447, "lattice_angstrom": [[-2.771, 2.771, 3.880], [2.771, -2.771, 3.880], [2.771, 2.771, -3.880]], "species": ["Ca", "Ca", "P", "P", "Se"], "frac_coords": [[0.250, 0.750, 0.500], [0.750, 0.250, 0.500], [0.145, 0.145, 0.000], [0.855, 0.855, 0.000], [0.500, 0.500, 0.000]]}

---

{"formula": "CaMgPd", "functional": "PBE", "state": "optimized geometry", "total_magnetization_mub_per_atom": 0.000, "energy_ev_per_atom": -3.411, "ef_ev_per_atom": -0.48, "lattice_angstrom": [[-1.736, 1.736, 5.642], [1.736, -1.736, 5.642], [1.736, 1.736, -5.642]], "species": ["Ca", "Mg", "Pd"], "frac_coords": [[0.000, 0.000, 0.000], [0.278, 0.278, 0.000], [0.667, 0.667, 0.000]]}

---

{"formula": "ReHgBr2", "functional": "PBE", "state": "optimized geometry", "polymorph_energy_mev_per_atom": 353.6, "total_magnetization_mub_per_atom": 0.000, "energy_ev_per_atom": -3.380, "lattice_angstrom": [[-1.545, 2.373, 6.835], [1.545, -2.373, 6.835], [1.545, 2.373, -6.835]], "species": ["Re", "Hg", "Br", "Br"], "frac_coords": [[0.000, 0.000, 0.000], [0.821, 0.321, 0.500], [0.146, 0.646, 0.500], [0.483, 0.483, 0.000]]}

---

{"formula": "NdMg2In", "functional": "PBE", "state": "optimized geometry", "polymorph_energy_mev_per_atom": 107.5, "total_magnetization_mub_per_atom": 0.000, "energy_ev_per_atom": -2.856, "ef_ev_per_atom": -0.18, "lattice_angstrom": [[0.000, 3.671, 3.671], [3.671, 0.000, 3.671], [3.671, 3.671, 0.000]], "species": ["Nd", "Mg", "Mg", "In"], "frac_coords": [[0.000, 0.000, 0.000], [0.250, 0.250, 0.250], [0.750, 0.750, 0.750], [0.500, 0.500, 0.500]]}

---

{"formula": "La2Y8In", "functional": "PBE", "state": "optimized geometry", "total_magnetization_mub_per_atom": 0.000, "energy_ev_per_atom": -5.776, "ef_ev_per_atom": 0.07, "lattice_angstrom": [[9.346, -3.417, 0.000], [9.346, 3.417, 0.000], [-0.298, 0.000, 5.832]], "species": ["La", "La", "Y", "Y", "Y", "Y", "Y", "Y", "Y", "Y", "In"], "frac_coords": [[0.222, 0.222, 0.258], [0.778, 0.778, 0.742], [0.052, 0.052, 0.227], [0.124, 0.639, 0.262], [0.333, 0.333, 0.774], [0.361, 0.876, 0.738], [0.639, 0.124, 0.262], [0.667, 0.667, 0.226], [0.876, 0.361, 0.738], [0.948, 0.948, 0.773], [0.500, 0.500, 0.000]]}

---

{"formula": "TbY3P4", "functional": "PBE", "state": "optimized geometry", "total_magnetization_mub_per_atom": 0.000, "energy_ev_per_atom": -7.333, "ef_ev_per_atom": -1.63, "lattice_angstrom": [[4.017, -5.681, 0.000], [4.017, 5.681, 0.000], [0.000, 0.000, 4.019]], "species": ["Tb", "Y", "Y", "Y", "P", "P", "P", "P"], "frac_coords": [[0.000, 0.000, 0.000], [0.000, 0.500, 0.500], [0.500, 0.000, 0.500], [0.500, 0.500, 0.000], [0.250, 0.250, 0.500], [0.250, 0.750, 0.000], [0.750, 0.250, 0.000], [0.750, 0.750, 0.500]]}